# Y4GaPbN (GGA-PBE, relaxed)
# **Spin magnetization**: 0.0 μB/f.u.
# **V**: 174.4 Å³/f.u.
# **E_tot**: -0.492 Ry/atom
# **Formation energy without anion corrections**: -853 meV per atom
data_Y4GaPbN
_chemical_formula_sum 'Y16 Ga4 Pb4 N4'
_symmetry_space_group_name_H-M 'C m c m'
_symmetry_Int_Tables_number 63
_symmetry_space_group_name_Hall '-C 2c 2'
_cell_length_a 6.621
_cell_length_b 15.893
_cell_length_c 6.629
_cell_angle_alpha 90.00
_cell_angle_beta 90.00
_cell_angle_gamma 90.00
loop_
_atom_site_label
_atom_site_type_symbol
_atom_site_fract_x
_atom_site_fract_y
_atom_site_fract_z
_atom_site_occupancy
Y1 Y 0.000 0.080 0.250 1
Y2 Y 0.000 0.409 0.250 1
Y3 Y 0.250 0.250 0.000 1
Ga1 Ga 0.000 0.115 0.750 1
Pb1 Pb 0.000 0.394 0.750 1
N1 N 0.000 0.252 0.250 1